SbIrAu3 | PBE-GGA | optimized geometry

```
SbIrAu3
1.0
-3.713 1.225 -3.149
0.524 -4.413 -2.334
-3.338 -2.055 3.136
Sb Ir Au
1 1 3
direct
0.500 0.500 0.500 Sb
0.000 0.000 0.000 Ir
0.000 0.500 0.000 Au
0.000 0.000 0.500 Au
0.500 0.000 0.000 Au
```

E above lowest polymorph, meV/atom: 0
Raw formation energy, eV/atom: 0.97
SG: Pm-3m (221)

SbIrAu | PBE-GGA | optimized geometry

```
SbIrAu
1.0
5.549 0.000 0.003
0.000 6.672 0.000
-5.388 0.000 6.242
Sb Ir Au
4 4 4
direct
0.916 0.647 0.162 Sb
0.084 0.647 0.838 Sb
0.916 0.147 0.662 Sb
0.084 0.147 0.338 Sb
0.500 0.844 0.500 Ir
0.500 0.344 0.000 Ir
0.000 0.283 0.000 Ir
0.000 0.783 0.500 Ir
0.437 0.972 0.151 Au
0.563 0.972 0.849 Au
0.437 0.472 0.651 Au
0.563 0.472 0.349 Au
```

E above lowest polymorph, meV/atom: 60
Raw formation energy, eV/atom: 0.08
SG: C2 (5)

Sb2Ir2Au | PBE-GGA | optimized geometry

```
Sb2Ir2Au
1.0
4.333 0.000 0.000
0.000 4.333 0.000
2.167 2.167 5.644
Sb Ir Au
2 2 1
direct
0.750 0.250 0.500 Sb
0.250 0.750 0.500 Sb
0.385 0.385 0.230 Ir
0.615 0.615 0.770 Ir
0.000 0.000 0.000 Au
```

E above lowest polymorph, meV/atom: 219
Raw formation energy, eV/atom: 0.32
SG: I4/mmm (139)

SbIrAu | PBE-GGA | optimized geometry

```
SbIrAu
1.0
3.956 -0.015 -0.003
1.217 5.292 -0.005
0.319 2.004 5.939
Sb Ir Au
2 2 2
direct
0.580 0.339 0.573 Sb
0.161 0.061 0.192 Sb
0.038 0.423 0.801 Ir
0.696 0.889 0.470 Ir
0.737 0.626 0.136 Au
0.177 0.881 0.805 Au
```

E above lowest polymorph, meV/atom: 28
Raw formation energy, eV/atom: 0.05
SG: P1 (1)

SbIrAu | PBE-GGA | optimized geometry

```
SbIrAu
1.0
5.276 0.000 -0.041
0.000 3.905 0.000
-1.167 0.000 6.128
Sb Ir Au
2 2 2
direct
0.376 0.500 0.898 Sb
0.031 0.000 0.289 Sb
0.497 0.000 0.163 Ir
0.009 0.500 0.557 Ir
0.509 0.500 0.478 Au
0.796 0.000 0.810 Au
```

E above lowest polymorph, meV/atom: 27
Raw formation energy, eV/atom: 0.05
SG: Pm (6)

SbIrAu2 | PBE-GGA | optimized geometry

```
SbIrAu2
1.0
-5.704 -5.141 -0.796
5.198 -5.679 -0.574
-0.323 -5.741 1.953
Sb Ir Au
2 2 4
direct
0.500 0.500 0.000 Sb
0.250 0.750 0.500 Sb
0.000 0.000 0.000 Ir
0.750 0.250 0.500 Ir
0.634 0.125 0.250 Au
0.116 0.625 0.250 Au
0.375 0.366 0.750 Au
0.875 0.884 0.750 Au
```

Raw formation energy, eV/atom: 0.32
SG: I-42d (122)

SbIrAu2 | PBE-GGA | optimized geometry

```
SbIrAu2
1.0
5.762 0.088 0.012
4.881 3.064 0.012
0.717 0.212 4.438
Au Ir Sb
2 1 1
direct
0.967 0.967 0.013 Au
0.533 0.533 0.487 Au
0.250 0.250 0.250 Ir
0.750 0.750 0.750 Sb
```

Raw formation energy, eV/atom: 0.24
SG: C2/m (12)

SbIrAu | PBE-GGA | optimized geometry

```
SbIrAu
1.0
3.990 0.000 0.000
-1.995 3.455 0.000
0.000 0.000 4.554
Au Ir Sb
1 1 1
direct
0.000 0.000 0.023 Au
0.667 0.333 0.358 Ir
0.333 0.667 0.618 Sb
```

E above lowest polymorph, meV/atom: 188
Raw formation energy, eV/atom: 0.21
SG: P3m1 (156)

SbIrAu2 | PBE-GGA | optimized geometry

```
SbIrAu2
1.0
3.196 0.000 0.000
0.000 3.196 0.000
0.000 0.000 7.452
Au Ir Sb
2 1 1
direct
0.000 0.000 0.023 Au
0.500 0.500 0.260 Au
0.000 0.000 0.504 Ir
0.500 0.500 0.712 Sb
```

Raw formation energy, eV/atom: 0.16
SG: P4mm (99)

SbIrAu4 | PBE-GGA | optimized geometry

```
SbIrAu4
1.0
0.000 3.881 3.881
3.881 0.000 3.881
3.881 3.881 0.000
Sb Ir Au
1 1 4
direct
0.000 0.000 0.000 Sb
0.750 0.750 0.750 Ir
0.874 0.375 0.375 Au
0.375 0.375 0.874 Au
0.375 0.874 0.375 Au
0.375 0.375 0.375 Au
```

Raw formation energy, eV/atom: 0.49
SG: F-43m (216)

SbIrAu2 | PBE-GGA | optimized geometry

```
SbIrAu2
1.0
-0.590 -2.891 2.495
3.267 -0.296 0.431
2.999 3.540 4.812
Au Ir Sb
2 1 1
direct
0.000 0.974 0.027 Au
0.500 0.264 0.239 Au
0.000 0.478 0.519 Ir
0.500 0.784 0.715 Sb
```

Raw formation energy, eV/atom: 0.14
SG: Pm (6)

Sb3IrAu | PBE-GGA | optimized geometry

```
Sb3IrAu
1.0
-4.239 0.251 -2.958
-2.962 -0.009 4.244
0.200 5.169 0.151
Sb Ir Au
3 1 1
direct
0.000 0.500 0.000 Sb
0.000 0.000 0.500 Sb
0.500 0.000 0.000 Sb
0.000 0.000 0.000 Ir
0.500 0.500 0.500 Au
```

E above lowest polymorph, meV/atom: 0
Raw formation energy, eV/atom: 0.56
SG: Pm-3m (221)